Compound: Cr2FeMoPb
Source: Alexandria
Functional: PBE
Structure: relaxed

Cell: 4.6230 4.6230 5.3373 Å, 90.00 90.00 90.00°
Last column: nearest neighbours and their distance in Å.
Sites, in units of the cell vectors:
Cr1 0.0000 0.5000 0.0000  2 Mo 2.31
Cr2 0.5000 0.0000 0.0000  2 Mo 2.31
Fe1 0.0000 0.0000 0.5000  4 Pb 3.27, 8 Cr 3.53
Mo1 0.5000 0.5000 0.0000  4 Cr 2.31
Pb1 0.5000 0.5000 0.5000  2 Mo 2.67

Summary:
DOS(E_F)   7.69 states/eV/cell
Final energy   -6.85 eV/atom
DFT formation energy   1.601 eV per atom